Record 1
DFT (PBE) results for a relaxed Ti2HgBr8 crystal.

Lattice parameters (Å, degrees): 8.072 8.072 10.279 110.72 110.72 58.82
Sites, in units of the cell vectors:
Ti 0.221 0.221 0.193
Ti 0.779 0.779 0.807
Hg 0.000 0.000 0.500
Br 0.075 0.595 0.727
Br 0.152 0.152 0.944
Br 0.403 0.403 0.284
Br 0.405 0.925 0.273
Br 0.595 0.075 0.727
Br 0.597 0.597 0.716
Br 0.848 0.848 0.056
Br 0.925 0.405 0.273

## Properties
* volume: 47.594 A^3/atom
* E: -3.759 eV/atom
* magnetic moment: 0.0 μB per formula unit
* energy relative to the elements, uncorrected: -1.08 eV per atom

***

Record 2
DFT (PBE) results for a relaxed TiTl2HgBr6 crystal.

Lattice parameters (Å, degrees): 8.533 8.533 8.533 56.00 56.00 56.00
Sites, in units of the cell vectors:
Ti 0.000 0.000 0.000
Tl 0.338 0.338 0.338
Tl 0.810 0.810 0.810
Hg 0.504 0.504 0.504
Br 0.057 0.330 0.814
Br 0.179 0.947 0.664
Br 0.330 0.814 0.057
Br 0.664 0.179 0.947
Br 0.814 0.057 0.330
Br 0.947 0.664 0.179

## Properties
* volume: 39.847 A^3/atom
* E: -3.205 eV/atom
* magnetic moment: 0.0 μB per formula unit
* energy relative to the elements, uncorrected: -0.91 eV per atom

***

Record 3
DFT (PBE) results for a relaxed TiTlHgBr6 crystal.

Lattice parameters (Å, degrees): 7.263 7.309 7.320 70.91 68.09 86.54
Sites, in units of the cell vectors:
Ti 0.000 0.000 0.000
Tl 0.919 0.625 0.657
Hg 0.480 0.026 0.472
Br 0.198 0.952 0.232
Br 0.208 0.746 0.856
Br 0.257 0.266 0.710
Br 0.733 0.746 0.288
Br 0.809 0.033 0.769
Br 0.813 0.262 0.138

## Properties
* volume: 37.761 A^3/atom
* E: -3.152 eV/atom
* magnetic moment: 0.0 μB per formula unit
* energy relative to the elements, uncorrected: -0.86 eV per atom

***

Record 4
DFT (PBE) results for a relaxed Tl5Hg2Br12 crystal.

Lattice parameters (Å, degrees): 8.740 9.137 10.795 72.92 69.02 66.73
Sites, in units of the cell vectors:
Tl 0.000 0.000 0.000
Tl 0.183 0.685 0.436
Tl 0.254 0.467 0.034
Tl 0.746 0.533 0.966
Tl 0.817 0.315 0.564
Hg 0.472 0.821 0.658
Hg 0.528 0.179 0.342
Br 0.065 0.011 0.730
Br 0.114 0.269 0.939
Br 0.154 0.396 0.339
Br 0.351 0.779 0.998
Br 0.395 0.565 0.693
Br 0.465 0.921 0.363
Br 0.535 0.079 0.637
Br 0.605 0.435 0.307
Br 0.649 0.221 0.002
Br 0.846 0.604 0.661
Br 0.886 0.731 0.061
Br 0.935 0.989 0.270

## Properties
* volume: 38.303 A^3/atom
* E: -2.277 eV/atom
* magnetic moment: 0.0 μB per formula unit
* energy relative to the elements, uncorrected: -0.57 eV per atom